Here is crystalline NdDyAg6 at its relaxed geometry from Alexandria via LeMat-Bulk. Energies are from PBE.

Volume: 169.9 Å³/cell
E: -3.543 eV/atom
Total magnetization: 0.000 μB per cell
N(E_F): 0.108 states/eV per atom

Cell: 5.5765 5.5767 5.5771 Å, 96.38 96.46 96.37°
Last column: nearest neighbours and their distance in Å.
Fractional positions:
Ag 0.4659 0.0358 0.7467  4 Ag 2.81-2.92, 1 Dy 3.06, 1 Nd 3.09
Ag 0.2532 0.5339 0.9641  4 Ag 2.81-2.92, 1 Dy 3.06, 1 Nd 3.09
Ag 0.0354 0.7467 0.4663  4 Ag 2.81-2.92, 1 Dy 3.06, 1 Nd 3.09
Ag 0.5341 0.9642 0.2533  4 Ag 2.81-2.92, 1 Dy 3.06, 1 Nd 3.09
Ag 0.9646 0.2533 0.5337  4 Ag 2.81-2.92, 1 Dy 3.06, 1 Nd 3.09
Ag 0.7468 0.4661 0.0359  4 Ag 2.81-2.92, 1 Dy 3.06, 1 Nd 3.09
Dy 0.5000 0.5000 0.5000  12 Ag 3.06-3.18
Nd 0.0000 0.0000 0.0000  12 Ag 3.09-3.19